Entry 1:
InCu2Si2 | PBE | relaxed

abc: 7.782 7.782 2.628
angles: 90.00 90.00 90.00
Space group P4/mbm (No. 127)
Asymmetric unit:
In: 0.000 0.000 0.000 [2 per cell]
Cu: 0.158 0.342 0.500 [4 per cell]
Si: 0.130 0.630 0.000 [4 per cell]

magnetization = 0.0 μB per formula unit
volume = 15.92 Å³ per atom
electronic total energy = -41.08 eV/cell
ΔE_f (raw) = 0.247 eV per atom

***

Entry 2:
In2CuSi2 | PBE | relaxed

abc: 6.156 6.156 5.230
angles: 90.00 90.00 90.00
Space group P4/mbm (No. 127)
Asymmetric unit:
In: 0.187 0.313 0.000 [4 per cell]
Cu: 0.000 0.000 0.500 [2 per cell]
Si: 0.139 0.639 0.500 [4 per cell]

magnetization = 0.0 μB per formula unit
volume = 19.82 Å³ per atom
electronic total energy = -38.46 eV/cell
ΔE_f (raw) = 0.237 eV per atom

***

Entry 3:
InCu2Si | PBE | relaxed

abc: 2.823 3.948 12.132
angles: 90.00 90.00 90.00
Space group Imm2 (No. 44)
Asymmetric unit:
In: 0.000 0.000 0.000 [2 per cell]
Cu: 0.000 0.000 0.387 [2 per cell]
Cu: 0.000 0.500 0.233 [2 per cell]
Si: 0.000 0.500 0.721 [2 per cell]

magnetization = 0.0 μB per formula unit
volume = 16.90 Å³ per atom
electronic total energy = -31.54 eV/cell
ΔE_f (raw) = 0.146 eV per atom

***

Entry 4:
In2Cu2Si | PBE | relaxed

abc: 6.500 6.500 4.258
angles: 90.00 90.00 90.00
Space group P4/mbm (No. 127)
Asymmetric unit:
In: 0.167 0.333 0.000 [4 per cell]
Cu: 0.142 0.642 0.500 [4 per cell]
Si: 0.000 0.000 0.500 [2 per cell]

magnetization = 0.0 μB per formula unit
volume = 17.99 Å³ per atom
electronic total energy = -36.25 eV/cell
ΔE_f (raw) = 0.194 eV per atom

***

Entry 5:
InCuSi2 | PBE | relaxed

abc: 3.783 3.783 4.802
angles: 90.00 90.00 90.00
Space group P4/mmm (No. 123)
Asymmetric unit:
In: 0.000 0.000 0.000 [1 per cell]
Cu: 0.500 0.500 0.000 [1 per cell]
Si: 0.000 0.500 0.500 [2 per cell]

magnetization = 0.0 μB per formula unit
volume = 17.18 Å³ per atom
electronic total energy = -15.96 eV/cell
ΔE_f (raw) = 0.429 eV per atom

***

Entry 6:
InCu2Si | PBE | relaxed

abc: 7.823 3.056 5.583
angles: 90.00 103.14 90.00
Space group C2/m (No. 12)
Asymmetric unit:
In: 0.000 0.000 0.000 [2 per cell]
Cu: 0.242 0.000 0.685 [4 per cell]
Si: 0.000 0.500 0.500 [2 per cell]

magnetization = 0.0 μB per formula unit
volume = 16.25 Å³ per atom
electronic total energy = -31.48 eV/cell
ΔE_f (raw) = 0.154 eV per atom

***

Entry 7:
InCuSi2 | PBE | relaxed

abc: 3.594 4.965 7.837
angles: 90.00 90.00 90.00
Space group Imm2 (No. 44)
Asymmetric unit:
In: 0.000 0.000 0.000 [2 per cell]
Cu: 0.000 0.500 0.220 [2 per cell]
Si: 0.000 0.000 0.497 [2 per cell]
Si: 0.000 0.500 0.787 [2 per cell]

magnetization = 0.0 μB per formula unit
volume = 17.48 Å³ per atom
electronic total energy = -32.08 eV/cell
ΔE_f (raw) = 0.410 eV per atom

***

Entry 8:
InCuSi2 | PBE | relaxed

abc: 2.798 4.688 10.424
angles: 90.00 90.00 90.00
Space group Immm (No. 71)
Asymmetric unit:
In: 0.000 0.000 0.000 [2 per cell]
Cu: 0.000 0.000 0.500 [2 per cell]
Si: 0.000 0.500 0.211 [4 per cell]

magnetization = 0.0 μB per formula unit
volume = 17.09 Å³ per atom
electronic total energy = -32.55 eV/cell
ΔE_f (raw) = 0.351 eV per atom

***

Entry 9:
InCu2Si | PBE | relaxed

abc: 3.310 4.745 8.195
angles: 90.00 90.00 90.00
Space group Immm (No. 71)
Asymmetric unit:
In: 0.000 0.000 0.000 [2 per cell]
Cu: 0.000 0.500 0.226 [4 per cell]
Si: 0.000 0.000 0.500 [2 per cell]

magnetization = 0.0 μB per formula unit
volume = 16.09 Å³ per atom
electronic total energy = -30.39 eV/cell
ΔE_f (raw) = 0.289 eV per atom

***

Entry 10:
InCuSi2 | PBE | relaxed

abc: 2.8772 2.8772 29.3154
angles: 90.00 90.00 120.00
Space group R-3m (No. 166, hexagonal axes)
Asymmetric unit:
In: 0.0000 0.0000 0.0000 [3 per cell]
Cu: 0.0000 0.0000 0.5000 [3 per cell]
Si: 0.0000 0.0000 0.2335 [6 per cell]

magnetization = 0.0 μB per formula unit
volume = 17.51 Å³ per atom
electronic total energy = -48.30 eV/cell
ΔE_f (raw) = 0.395 eV per atom

***

Entry 11:
In3CuSi | PBE | relaxed

abc: 5.219 5.219 5.219
angles: 90.00 90.00 90.00
Space group Pm-3m (No. 221)
Asymmetric unit:
In: 0.000 0.000 0.500 [3 per cell]
Cu: 0.500 0.500 0.500 [1 per cell]
Si: 0.000 0.000 0.000 [1 per cell]

magnetization = 0.0 μB per formula unit
volume = 28.43 Å³ per atom
electronic total energy = -14.33 eV/cell
ΔE_f (raw) = 0.682 eV per atom
energy above the most stable polymorph in this dataset = 0.187 eV/atom

***

Entry 12:
Y2InCuSi | PBE | relaxed

abc: 5.363 5.363 4.312
angles: 90.00 90.00 90.00
Space group P4/mmm (No. 123)
Asymmetric unit:
Y: 0.000 0.500 0.000 [2 per cell]
In: 0.000 0.000 0.500 [1 per cell]
Cu: 0.500 0.500 0.000 [1 per cell]
Si: 0.500 0.500 0.500 [1 per cell]

magnetization = 0.0 μB per formula unit
volume = 24.80 Å³ per atom
electronic total energy = -25.77 eV/cell
ΔE_f (raw) = -0.117 eV per atom

***

Copy entry 9 word for word.
InCu2Si | PBE | relaxed

abc: 3.310 4.745 8.195
angles: 90.00 90.00 90.00
Space group Immm (No. 71)
Asymmetric unit:
In: 0.000 0.000 0.000 [2 per cell]
Cu: 0.000 0.500 0.226 [4 per cell]
Si: 0.000 0.000 0.500 [2 per cell]

magnetization = 0.0 μB per formula unit
volume = 16.09 Å³ per atom
electronic total energy = -30.39 eV/cell
ΔE_f (raw) = 0.289 eV per atom